AcCuRu2O8 after structural relaxation. Source: Alexandria via LeMat-Bulk, functional PBE-GGA.

abc: 5.1388 5.1388 7.2223
angles: 69.16 69.16 60.00
Element x y z (fractional)
O 0.3015 0.9119 0.1662
O 0.9119 0.6205 0.1662
O 0.1813 0.1813 0.4561
O 0.3795 0.6985 0.8338
O 0.8187 0.8187 0.5439
O 0.6985 0.0881 0.8338
O 0.0881 0.3795 0.8338
O 0.6205 0.3015 0.1662
Ac 0.5000 0.5000 0.5000
Cu 0.0000 0.0000 0.0000
Ru 0.7241 0.7241 0.8278
Ru 0.2759 0.2759 0.1722

Summary:
**Magnetization**: 0.00 μB/atom
**Final energy**: -6.709 eV/atom


HfNpGa6 after structural relaxation. Source: Alexandria via LeMat-Bulk, functional PBE-GGA.

abc: 4.1726 4.1726 8.3779
angles: 90.00 90.00 90.00
Last column: magnetic moment on the atom in μB.
Element x y z (fractional)
Ga 0.5000 0.0000 0.2558  0.00
Ga 0.5000 0.5000 0.5000  -0.01
Ga 0.5000 0.0000 0.7442  0.00
Ga 0.5000 0.5000 0.0000  0.03
Ga 0.0000 0.5000 0.7442  0.00
Ga 0.0000 0.5000 0.2558  0.00
Hf 0.0000 0.0000 0.5000  -0.03
Np 0.0000 0.0000 0.0000  3.56

Summary:
**Energy of formation from the pure elements**: -310 meV/atom
**Magnetization**: 0.46 μB/atom
**Final energy**: -5.442 eV/atom


CeZnNiPd after structural relaxation. Source: Alexandria via LeMat-Bulk, functional PBE-GGA.

abc: 4.6595 4.6595 4.6595
angles: 60.00 60.00 60.00
Element x y z (fractional)
Ce 0.2500 0.2500 0.2500
Pd 0.0000 0.0000 0.0000
Zn 0.7500 0.7500 0.7500
Ni 0.5000 0.5000 0.5000

Summary:
**Energy of formation from the pure elements**: -392 meV/atom
**Magnetization**: 0.01 μB/atom
**Excess energy over the best structure of this formula in the dataset**: 0.098 eV per atom
**Final energy**: -4.938 eV/atom


ScPaS2 after structural relaxation. Source: Alexandria via LeMat-Bulk, functional PBE-GGA.

abc: 3.5536 3.5536 7.3859
angles: 76.08 76.08 60.00
Element x y z (fractional)
S 0.0901 0.0901 0.7297
S 0.2436 0.2436 0.2691
Sc 0.4974 0.4974 0.5078
Pa 0.6689 0.6689 0.9934

Summary:
**Magnetization**: 0.00 μB/atom
**Excess energy over the best structure of this formula in the dataset**: 0.094 eV per atom
**Final energy**: -7.644 eV/atom


NaSiAu2Br after structural relaxation. Source: Alexandria via LeMat-Bulk, functional PBE-GGA.

abc: 5.0001 5.5007 5.0001
angles: 90.00 90.00 90.00
Element x y z (fractional)
Na 0.0000 0.0000 0.0000
Au 0.0000 0.0000 0.5000
Au 0.5000 0.0000 0.0000
Br 0.5000 0.5000 0.5000
Si 0.0000 0.5000 0.0000

Summary:
**Magnetization**: 0.00 μB/atom
**Excess energy over the best structure of this formula in the dataset**: 0.279 eV per atom
**Final energy**: -1.995 eV/atom